# 1
Below is a relaxed InFe2W crystal, with properties calculated at the PBE level.

Cell lengths 5.581, 5.581, 5.581 Å; angles 104.14, 104.14, 120.75 degrees
Fractional coordinates of all 8 atoms:
1 In 0.000 0.000 0.000
2 In 0.750 0.250 0.500
3 Fe 0.169 0.625 0.044
4 Fe 0.375 0.419 0.544
5 Fe 0.581 0.125 0.956
6 Fe 0.875 0.831 0.456
7 W 0.250 0.750 0.500
8 W 0.500 0.500 0.000

Properties
Volume = 130 Å³ per cell
SG = I-42d (122)
Crystal system = tetragonal
Final energy = -58.5 eV/cell


# 2
Below is a relaxed Rb3Ag2Ge4 crystal, with properties calculated at the PBE level.

Cell lengths 4.788, 7.188, 8.848 Å; angles 89.61, 74.50, 70.55 degrees
Fractional coordinates of all 9 atoms:
1 Rb 0.000 0.000 0.000
2 Rb 0.240 0.169 0.348
3 Rb 0.760 0.831 0.652
4 Ag 0.063 0.634 0.239
5 Ag 0.937 0.366 0.761
6 Ge 0.337 0.409 0.922
7 Ge 0.493 0.631 0.385
8 Ge 0.507 0.369 0.615
9 Ge 0.663 0.591 0.078

Properties
Volume = 276 Å³ per cell
SG = P-1 (2)
Crystal system = triclinic
Final energy = -26.9 eV/cell


# 3
Below is a relaxed Sc2Ni crystal, with properties calculated at the PBE level.

Cell lengths 5.958, 5.958, 6.176 Å; angles 90.00, 90.00, 147.63 degrees
Fractional coordinates of all 6 atoms:
1 Sc 0.025 0.975 0.500
2 Sc 0.289 0.711 0.672
3 Sc 0.711 0.289 0.172
4 Sc 0.975 0.025 0.000
5 Ni 0.382 0.618 0.278
6 Ni 0.618 0.382 0.778

Properties
Volume = 117 Å³ per cell
SG = Cmc2_1 (36)
Crystal system = orthorhombic
Final energy = -38.7 eV/cell